Density functional theory data (PBE with a Hubbard U) for a relaxed MnGa2AgO crystal.

a = 5.5471 Å, b = 4.0778 Å, c = 5.5471 Å
α = 90.00°, β = 90.00°, γ = 90.00°
Positions (direct):
Ga 0.5000 0.0000 0.0000
Ag 0.0000 0.0000 0.0000
Ga 0.0000 0.0000 0.5000
O 0.0000 0.5000 0.0000
Mn 0.5000 0.5000 0.5000

Results
The total energy comes out at -18.83 eV/cell. The space-group type is P4/mmm, No. 123. Its crystal system is tetragonal. As for the total moment: 4.804 μB per formula unit.